This record from the Alexandria database describes an optimized crystal structure of LaSb2. The functional is PBE.

Lattice parameters (Å, degrees): 5.6490 5.6490 6.4838 90.00 90.00 120.00
Atoms (fractional coordinates):
La 0.3333 0.6667 0.2500
La 0.6667 0.3333 0.7500
Sb 0.0000 0.0000 0.0000
Sb 0.0000 0.0000 0.5000
Sb 0.3333 0.6667 0.7500
Sb 0.6667 0.3333 0.2500

DOS(E_F), states/eV per atom: 0.86
Uncorrected formation energy, eV/atom: -0.676